Density functional theory data (PBE) for crystalline AcLa6HoEr2 at its relaxed geometry.

abc: 9.904 9.103 9.103
angles: 117.16 93.62 93.62
Sites, in units of the cell vectors:
La1 0.052 0.115 0.755
La2 0.813 0.448 0.998
Er1 0.453 0.795 0.694
La3 0.687 0.002 0.552
Er2 0.547 0.205 0.306
Ho1 0.750 0.588 0.412
La4 0.187 0.552 0.002
Ac1 0.250 0.973 0.027
Er3 0.953 0.694 0.795
La5 0.120 0.705 0.489
La6 0.620 0.489 0.705
Er4 0.047 0.306 0.205
Ho2 0.250 0.412 0.588
La7 0.552 0.755 0.115
La8 0.948 0.885 0.245
La9 0.448 0.245 0.885
La10 0.880 0.295 0.511
La11 0.380 0.511 0.295
Ac2 0.750 0.027 0.973
La12 0.313 0.998 0.448

Results
Energy   -4.63 eV/atom
DFT formation energy   0.1101 eV per atom

=====

Density functional theory data (PBE) for crystalline AcLa2Ho5Er at its relaxed geometry.

abc: 8.787 8.787 10.068
angles: 115.87 115.87 90.00
Sites, in units of the cell vectors:
Ac1 0.750 0.750 0.500
La1 0.883 0.617 0.000
Ho1 0.151 0.075 0.726
La2 0.617 0.117 0.000
La3 0.117 0.383 0.000
Ho2 0.849 0.925 0.274
Ho3 0.651 0.151 0.726
Ho4 0.500 0.500 0.000
Er1 0.250 0.750 0.500
Ho5 0.425 0.349 0.274
Ho6 0.075 0.575 0.726
Ac2 0.250 0.250 0.500
Ho7 0.349 0.849 0.274
Ho8 0.575 0.651 0.726
Ho9 0.925 0.425 0.274
Er2 0.750 0.250 0.500
Ho10 0.000 0.000 0.000
La4 0.383 0.883 0.000

Results
Energy   -4.34 eV/atom
DFT formation energy   0.2576 eV per atom

=====

Density functional theory data (PBE) for crystalline AcLa2HoEr4 at its relaxed geometry.

abc: 7.262 13.759 13.741
angles: 149.36 121.94 74.53
Sites, in units of the cell vectors:
Er1 0.418 0.834 0.083
Er2 0.085 0.670 0.421
Ho1 0.500 0.500 0.500
Er3 0.915 0.330 0.578
Er4 0.415 0.331 0.579
Ho2 0.000 0.000 0.000
La1 0.000 0.000 0.500
Er5 0.914 0.834 0.081
Ac1 0.000 0.500 0.000
La2 0.500 0.000 0.000
Er6 0.582 0.166 0.917
La3 0.500 0.000 0.500
Er7 0.086 0.166 0.919
Er8 0.585 0.669 0.421
Ac2 0.000 0.500 0.500
La4 0.500 0.500 0.000

Results
Energy   -4.58 eV/atom
DFT formation energy   0.0183 eV per atom

=====

Density functional theory data (PBE) for crystalline AcLa2Ho4Er at its relaxed geometry.

abc: 9.650 9.662 11.999
angles: 128.45 128.38 88.36
Sites, in units of the cell vectors:
Ho1 0.259 0.241 0.008
Ho2 0.254 0.769 0.011
Er1 0.000 0.000 0.000
La1 0.500 0.500 0.000
Er2 0.500 0.500 0.500
Ac1 0.000 0.500 0.500
La2 0.500 0.000 0.500
Ho3 0.746 0.231 0.988
Ac2 0.000 0.500 0.000
Ho4 0.741 0.759 0.992
Ho5 0.259 0.241 0.492
Ho6 0.741 0.759 0.508
Ho7 0.269 0.754 0.511
Ho8 0.731 0.246 0.489
La3 0.000 0.000 0.500
La4 0.500 0.000 0.000

Results
Energy   -4.19 eV/atom
DFT formation energy   0.4143 eV per atom

=====

Density functional theory data (PBE) for crystalline AcLa4HoEr2 at its relaxed geometry.

abc: 5.245 6.357 9.776
angles: 89.04 74.44 65.63
Sites, in units of the cell vectors:
La1 0.123 0.124 0.631
Ho1 0.000 0.000 0.000
Ac1 0.500 0.500 0.500
Er1 0.257 0.242 0.243
La2 0.374 0.375 0.878
Er2 0.743 0.758 0.757
La3 0.626 0.625 0.122
La4 0.877 0.876 0.369

Results
Energy   -4.65 eV/atom
DFT formation energy   0.0374 eV per atom

=====

Density functional theory data (PBE) for crystalline AcLa2HoEr at its relaxed geometry.

abc: 6.541 6.594 9.326
angles: 110.70 90.00 90.00
Sites, in units of the cell vectors:
La1 0.000 0.244 0.000
Ho1 0.750 0.154 0.308
La2 0.500 0.244 0.000
Er1 0.250 0.242 0.484
La3 0.500 0.756 0.000
Ac1 0.750 0.341 0.681
Ho2 0.250 0.846 0.692
La4 0.000 0.756 0.000
Ac2 0.250 0.659 0.319
Er2 0.750 0.758 0.516

Results
Energy   -4.24 eV/atom
DFT formation energy   0.3793 eV per atom

=====

Density functional theory data (PBE) for crystalline AcLa4Ho2Er at its relaxed geometry.

abc: 5.248 6.358 9.785
angles: 89.03 74.45 65.63
Sites, in units of the cell vectors:
La1 0.374 0.374 0.878
Er1 0.000 0.000 0.000
Ho1 0.743 0.758 0.757
La2 0.626 0.626 0.122
La3 0.122 0.124 0.632
Ho2 0.257 0.242 0.243
La4 0.878 0.876 0.368
Ac1 0.500 0.500 0.500

Results
Energy   -4.65 eV/atom
DFT formation energy   0.0375 eV per atom

=====

Density functional theory data (PBE) for crystalline AcHoErMg at its relaxed geometry.

abc: 5.672 5.672 5.672
angles: 60.00 60.00 60.00
Sites, in units of the cell vectors:
Mg1 0.000 0.000 0.000
Ho1 0.250 0.250 0.250
Ac1 0.500 0.500 0.500
Er1 0.750 0.750 0.750

Results
Energy   -3.55 eV/atom
DFT formation energy   0.1621 eV per atom